Computed, not measured: crystalline CaLa2Y3 at its relaxed geometry at the GGA-PBE level of DFT.

```
CaLa2Y3
1.0
6.768 0.000 0.000
-3.384 5.862 0.000
0.000 0.000 11.292
Ca La Y
2 4 6
Direct
0.333 0.667 0.434
0.667 0.333 0.566
0.000 0.000 0.000
0.000 0.000 0.500
0.333 0.667 0.069
0.667 0.333 0.931
0.167 0.335 0.754
0.167 0.833 0.754
0.335 0.167 0.246
0.665 0.833 0.754
0.833 0.167 0.246
0.833 0.665 0.246
```

## Properties
Spin magnetization: 1.0 μB per formula unit
N(E_F): 22.98 states/eV per cell
ΔE_f: 0.2230 eV/atom

Computed, not measured: crystalline CaLaY14 at its relaxed geometry at the GGA-PBE level of DFT.

```
CaLaY14
1.0
11.642 0.000 0.000
0.000 3.621 6.277
0.000 -3.621 6.277
Ca La Y
1 1 14
Direct
0.000 0.000 0.000
0.000 0.498 0.498
0.000 0.000 0.499
0.000 0.499 0.000
0.250 0.333 0.333
0.254 0.831 0.831
0.256 0.337 0.831
0.256 0.831 0.337
0.500 0.166 0.166
0.500 0.166 0.665
0.500 0.665 0.166
0.500 0.666 0.666
0.744 0.337 0.831
0.744 0.831 0.337
0.746 0.831 0.831
0.750 0.333 0.333
```

## Properties
Spin magnetization: 0.0 μB per formula unit
N(E_F): 23.51 states/eV per cell
ΔE_f: 0.0276 eV/atom

Computed, not measured: crystalline CaLa4Y at its relaxed geometry at the GGA-PBE level of DFT.

```
CaLa4Y
1.0
3.768 0.000 0.000
0.000 3.768 0.000
0.000 0.000 15.671
Ca La Y
1 4 1
Direct
0.000 0.000 0.000
0.000 0.000 0.340
0.000 0.000 0.660
0.500 0.500 0.183
0.500 0.500 0.817
0.500 0.500 0.500
```

## Properties
Spin magnetization: 0.0 μB per formula unit
N(E_F): 9.71 states/eV per cell
ΔE_f: 0.0279 eV/atom